1.
LaSi2Rh3: optimized geometry, PBE-GGA.

```
LaSi2Rh3
1.0
4.027 0.000 0.000
-2.013 7.693 -2.511
0.000 0.038 9.858
Rh La Si
9 3 6
Cartesian
2.013 4.354 4.566 Rh
0.000 3.376 2.781 Rh
0.000 4.989 -1.208 Rh
2.013 1.905 1.350 Rh
2.013 2.742 8.555 Rh
0.000 0.684 3.067 Rh
2.013 7.047 4.280 Rh
0.000 5.826 5.997 Rh
2.013 0.019 4.929 Rh
2.013 5.236 1.248 La
0.000 0.000 0.000 La
0.000 2.494 6.098 La
2.013 0.518 7.430 Si
0.000 7.212 -0.083 Si
2.013 4.710 7.105 Si
0.000 5.580 3.663 Si
0.000 3.020 0.242 Si
2.013 2.151 3.684 Si
```

total moment: 0.00 μB/cell
calculated volume: 305.8 Å³ per cell
ρ: 8.2 g/cm³
formation energy (no corrections): -0.9529 eV/atom
DFT total energy: -130.64 eV/cell

2.
ZnSb4P: optimized geometry, PBE-GGA.

```
ZnSb4P
1.0
0.000 4.336 4.336
4.336 0.000 4.336
4.336 4.336 0.000
P Sb Zn
1 4 1
Cartesian
0.000 0.000 0.000 P
3.248 3.248 3.248 Sb
5.424 3.248 5.424 Sb
5.424 5.424 3.248 Sb
3.248 5.424 5.424 Sb
6.504 6.504 6.504 Zn
```

total moment: 0.00 μB/cell
calculated volume: 163.0 Å³ per cell
ρ: 5.9 g/cm³
formation energy (no corrections): 0.6825 eV/atom
DFT total energy: -19.08 eV/cell